# 1
Entry from Alexandria: HoScBe2 after structural relaxation (GGA-PBE).

Summary:
VASP energy ... -0.3353 Ry per atom
Symmetry ... P4/mmm, No. 123

a b c (Å): 3.2895 3.2895 6.5392
angles (deg): 90.00 90.00 90.00
Atoms (fractional coordinates):
Ho1 0.0000 0.0000 0.0000
Sc1 0.0000 0.0000 0.5000
Be1 0.5000 0.5000 0.2858
Be2 0.5000 0.5000 0.7142

# 2
Entry from Alexandria: YCd2Ag8 after structural relaxation (GGA-PBE).

Summary:
VASP energy ... -0.2098 Ry per atom
Symmetry ... C2/m, No. 12

a b c (Å): 8.3219 8.3219 5.1623
angles (deg): 106.84 106.84 125.87
Atoms (fractional coordinates):
Y1 0.0000 0.0000 0.0000
Cd1 0.3208 0.6792 0.5000
Cd2 0.6792 0.3208 0.5000
Ag1 0.0961 0.3658 0.7439
Ag2 0.2029 0.7971 0.0000
Ag3 0.3658 0.0961 0.7439
Ag4 0.4939 0.4939 0.7436
Ag5 0.5061 0.5061 0.2564
Ag6 0.6342 0.9039 0.2561
Ag7 0.7971 0.2029 0.0000
Ag8 0.9039 0.6342 0.2561

# 3
Entry from Alexandria: CeTiC after structural relaxation (GGA-PBE).

Summary:
VASP energy ... -0.5660 Ry per atom
Symmetry ... I4mm, No. 107

a b c (Å): 5.5296 5.5296 5.5296
angles (deg): 148.12 148.12 45.71
Atoms (fractional coordinates):
Ce1 0.0000 0.0000 0.0000
Ti1 0.2641 0.2641 0.0000
C1 0.7398 0.7398 0.0000

# 4
Entry from Alexandria: CrPbBr2 after structural relaxation (GGA-PBE).

Summary:
Uncorrected formation energy ... 0.26 eV per atom
Symmetry ... F-43m, No. 216

a b c (Å): 5.3481 5.3481 5.3481
angles (deg): 60.00 60.00 60.00
Atoms (fractional coordinates):
Cr1 0.0000 0.0000 0.0000
Pb1 0.2500 0.2500 0.2500
Br1 0.5000 0.5000 0.5000
Br2 0.7500 0.7500 0.7500

# 5
Entry from Alexandria: BaNa3Pb after structural relaxation (GGA-PBE).

Summary:
VASP energy ... -0.1409 Ry per atom
Symmetry ... Pm-3m, No. 221

a b c (Å): 6.0060 6.0060 6.0060
angles (deg): 90.00 90.00 90.00
Atoms (fractional coordinates):
Ba1 0.0000 0.0000 0.0000
Na1 0.0000 0.5000 0.5000
Na2 0.5000 0.0000 0.5000
Na3 0.5000 0.5000 0.0000
Pb1 0.5000 0.5000 0.5000

# 6
Entry from Alexandria: CaAl2Re after structural relaxation (GGA-PBE).

Summary:
VASP energy ... -0.3997 Ry per atom
Symmetry ... C2/m, No. 12

a b c (Å): 4.6704 4.6704 6.0006
angles (deg): 95.85 95.85 35.28
Atoms (fractional coordinates):
Ca1 0.0000 0.0000 0.0000
Al1 0.2370 0.2370 0.6902
Al2 0.7630 0.7630 0.3098
Re1 0.5000 0.5000 0.5000

# 7
Entry from Alexandria: CrOs2Pt after structural relaxation (GGA-PBE).

Summary:
VASP energy ... -0.6988 Ry per atom
Symmetry ... I-4m2, No. 119

a b c (Å): 4.6845 4.6845 4.6845
angles (deg): 131.65 131.65 70.78
Atoms (fractional coordinates):
Cr1 0.0000 0.0000 0.0000
Os1 0.2500 0.7500 0.5000
Os2 0.5000 0.5000 0.0000
Pt1 0.7500 0.2500 0.5000

# 8
Entry from Alexandria: Sr2CaCu9 after structural relaxation (GGA-PBE).

Summary:
VASP energy ... -0.2614 Ry per atom
Symmetry ... R-3m, No. 166

a b c (Å): 9.1126 9.1126 9.1126
angles (deg): 33.81 33.81 33.81
Atoms (fractional coordinates):
Sr1 0.1396 0.1396 0.1396
Sr2 0.8604 0.8604 0.8604
Ca1 0.0000 0.0000 0.0000
Cu1 0.0834 0.5750 0.5750
Cu2 0.3317 0.3317 0.3317
Cu3 0.4250 0.4250 0.9166
Cu4 0.4250 0.9166 0.4250
Cu5 0.5000 0.5000 0.5000
Cu6 0.5750 0.0834 0.5750
Cu7 0.5750 0.5750 0.0834
Cu8 0.6683 0.6683 0.6683
Cu9 0.9166 0.4250 0.4250

# 9
Entry from Alexandria: HoTm3Rh4 after structural relaxation (GGA-PBE).

Summary:
VASP energy ... -0.5060 Ry per atom
Symmetry ... R-3m, No. 166

a b c (Å): 8.2937 8.2937 8.2937
angles (deg): 33.55 33.55 33.55
Atoms (fractional coordinates):
Ho1 0.0000 0.0000 0.0000
Tm1 0.2497 0.2497 0.2497
Tm2 0.5000 0.5000 0.5000
Tm3 0.7503 0.7503 0.7503
Rh1 0.1254 0.1254 0.1254
Rh2 0.3755 0.3755 0.3755
Rh3 0.6245 0.6245 0.6245
Rh4 0.8746 0.8746 0.8746

# 10
Entry from Alexandria: Ac2Tc2Ge5 after structural relaxation (GGA-PBE).

Summary:
VASP energy ... -0.4446 Ry per atom
Symmetry ... P4/mmm, No. 123

a b c (Å): 4.7876 4.7876 9.7371
angles (deg): 90.00 90.00 90.00
Atoms (fractional coordinates):
Ac1 0.0000 0.0000 0.0000
Ac2 0.0000 0.0000 0.5000
Tc1 0.5000 0.5000 0.2355
Tc2 0.5000 0.5000 0.7645
Ge1 0.0000 0.5000 0.2730
Ge2 0.0000 0.5000 0.7270
Ge3 0.5000 0.0000 0.2730
Ge4 0.5000 0.0000 0.7270
Ge5 0.5000 0.5000 0.0000

# 11
Entry from Alexandria: PmPr2Sb after structural relaxation (GGA-PBE).

Summary:
Uncorrected formation energy ... -0.55 eV per atom
Symmetry ... P4/mmm, No. 123

a b c (Å): 4.9340 4.9340 4.9689
angles (deg): 90.00 90.00 90.00
Atoms (fractional coordinates):
Pm1 0.0000 0.0000 0.0000
Pr1 0.0000 0.5000 0.5000
Pr2 0.5000 0.0000 0.5000
Sb1 0.5000 0.5000 0.0000

# 12
Entry from Alexandria: TaInI6 after structural relaxation (GGA-PBE).

Summary:
Uncorrected formation energy ... -0.43 eV per atom
Symmetry ... C2/m, No. 12

a b c (Å): 7.5817 7.5817 7.7108
angles (deg): 98.94 98.94 118.76
Atoms (fractional coordinates):
Ta1 0.0000 0.0000 0.0000
In1 0.5000 0.5000 0.5000
I1 0.0616 0.3633 0.2189
I2 0.2274 0.2274 0.7850
I3 0.3633 0.0616 0.2189
I4 0.6367 0.9384 0.7811
I5 0.7726 0.7726 0.2150
I6 0.9384 0.6367 0.7811